The following is a GGA-PBE calculation of a relaxed Ti3HOs crystal, from the Alexandria database.

Calculated values
**Energy above the most stable polymorph in this dataset**: 0.00 eV/f.u.
**ρ**: 8.55 g cm⁻³

Cell lengths 4.021, 4.021, 4.021 Å; angles 90.00, 90.00, 90.00 degrees
Fractional positions:
H 0.000 0.000 0.000
Ti 0.000 0.500 0.000
Ti 0.000 0.000 0.500
Ti 0.500 0.000 0.000
Os 0.500 0.500 0.500